Entry 1:
SbP4Cl PBE optimized geometry; raw total energy = -25.0 eV/f.u.
1.0
5.448 -0.268 -1.521
2.673 -4.991 -0.089
1.447 -2.349 -4.945
Sb Cl P
1 1 4
direct
0.750 0.750 0.750 Sb
0.000 0.000 0.000 Cl
0.400 0.800 0.400 P
0.400 0.400 0.400 P
0.800 0.400 0.400 P
0.400 0.400 0.800 P


Entry 2:
SbP2Cl2 PBE optimized geometry; raw total energy = -14.5 eV/f.u.
1.0
-2.584 2.584 4.230
2.584 -2.584 4.230
2.584 2.584 -4.230
P Cl Sb
2 2 1
direct
0.250 0.750 0.500 P
0.750 0.250 0.500 P
0.321 0.321 0.000 Cl
0.679 0.679 0.000 Cl
0.000 0.000 0.000 Sb


Entry 3:
SbPCl PBE optimized geometry; energy above the most stable polymorph in this dataset = 1.145 eV per formula unit
1.0
6.971 0.233 -0.170
5.916 3.422 0.203
1.055 -0.625 3.149
P Sb Cl
1 1 1
direct
0.300 0.300 0.700 P
0.678 0.678 0.322 Sb
0.022 0.022 0.978 Cl


Entry 4:
SbPCl2 PBE optimized geometry; energy above the most stable polymorph in this dataset = 2.220 eV per formula unit
1.0
5.565 -0.018 0.053
-2.109 5.149 0.053
1.726 2.564 3.187
P Cl Sb
1 2 1
direct
0.500 0.000 0.500 P
0.500 0.500 0.000 Cl
0.000 0.000 0.000 Cl
0.000 0.500 0.500 Sb


Entry 5:
SbPCl2 PBE optimized geometry; energy above the most stable polymorph in this dataset = 2.417 eV per formula unit
1.0
-2.172 2.340 -1.140
1.548 -2.266 -1.991
-8.775 -7.380 1.575
Cl Sb P
2 1 1
direct
0.000 0.000 0.404 Cl
0.000 0.000 0.096 Cl
0.500 0.500 0.750 Sb
0.500 0.500 0.250 P


Entry 6:
Sb2PCl PBE optimized geometry; energy above the most stable polymorph in this dataset = 1.784 eV per formula unit
1.0
5.034 0.000 0.000
2.517 4.359 0.000
2.517 1.453 4.110
P Sb Cl
1 2 1
direct
0.250 0.250 0.250 P
0.750 0.750 0.750 Sb
0.000 0.000 0.000 Sb
0.500 0.500 0.500 Cl


Entry 7:
Sb2PCl PBE optimized geometry; energy above the most stable polymorph in this dataset = 0.161 eV per formula unit
1.0
7.605 0.029 0.010
5.543 5.207 -0.010
-6.569 -2.632 2.787
Cl Sb P
1 2 1
direct
0.473 0.473 0.000 Cl
0.074 0.074 0.000 Sb
0.742 0.242 0.500 Sb
0.211 0.711 0.500 P


Entry 8:
SbPCl2 PBE optimized geometry; energy above the most stable polymorph in this dataset = 0.022 eV per formula unit
1.0
-2.678 5.333 0.433
-4.456 3.300 -2.249
-4.449 -1.610 4.170
Cl P Sb
2 1 1
direct
0.986 0.986 0.091 Cl
0.748 0.748 0.662 Cl
0.595 0.595 0.510 P
0.170 0.170 0.237 Sb